A | Compound: Sb2TeC
Source: the Alexandria database
Functional: PBE
Structure: relaxed

Properties
Magnetic moment (μB/cell): 0.00

Lattice parameters (Å, degrees): 5.0430 5.0430 5.0430 60.00 60.00 60.00
Fractional coordinates of all 4 atoms:
C  0.0000  0.0000  0.0000
Sb  0.7500  0.7500  0.7500
Sb  0.2500  0.2500  0.2500
Te  0.5000  0.5000  0.5000



B | Compound: Sb2TeC
Source: the Alexandria database
Functional: PBE
Structure: relaxed

Properties
Magnetic moment (μB/cell): 0.00

Lattice parameters (Å, degrees): 6.9486 6.9486 6.3896 57.06 57.06 90.00
Fractional coordinates of all 8 atoms:
C  0.2500  0.7500  0.5000
C  0.5000  0.5000  0.0000
Te  0.7500  0.2500  0.5000
Te  0.0000  0.0000  0.0000
Sb  0.2215  0.6250  0.2500
Sb  0.3750  0.4715  0.7500
Sb  0.8750  0.7785  0.7500
Sb  0.5285  0.1250  0.2500



Which structure wins on stability? B wins.



A | Compound: Sb2Te2C
Source: the Alexandria database
Functional: PBE
Structure: relaxed

Properties
Magnetic moment (μB/cell): 0.39

Lattice parameters (Å, degrees): 6.4255 6.4255 6.3606 90.00 90.00 90.00
Fractional coordinates of all 10 atoms:
Te  0.2887  0.7887  0.0000
Te  0.2113  0.2887  0.0000
Te  0.7113  0.2113  0.0000
Te  0.7887  0.7113  0.0000
C  0.5000  0.5000  0.0000
C  0.0000  0.0000  0.0000
Sb  0.2420  0.2580  0.5000
Sb  0.7420  0.2420  0.5000
Sb  0.7580  0.7420  0.5000
Sb  0.2580  0.7580  0.5000



B | Compound: Sb2Te2C
Source: the Alexandria database
Functional: PBE
Structure: relaxed

Properties
Magnetic moment (μB/cell): 0.49

Lattice parameters (Å, degrees): 4.0413 4.0413 9.2370 77.36 77.36 90.00
Fractional coordinates of all 5 atoms:
Te  0.5771  0.5771  0.8457
Te  0.4229  0.4229  0.1543
Sb  0.2500  0.7500  0.5000
Sb  0.7500  0.2500  0.5000
C  0.0000  0.0000  0.0000



Which structure wins on stability? A wins.



A | Compound: TlSb2TeC
Source: the Alexandria database
Functional: PBE
Structure: relaxed

Properties
Magnetic moment (μB/cell): 0.00

Lattice parameters (Å, degrees): 4.8004 4.8004 5.3553 90.00 90.00 90.00
Fractional coordinates of all 5 atoms:
Sb  0.5000  0.0000  0.0000
Sb  0.0000  0.5000  0.0000
C  0.0000  0.0000  0.0000
Te  0.0000  0.0000  0.5000
Tl  0.5000  0.5000  0.5000



B | Compound: TlSb2TeC
Source: the Alexandria database
Functional: PBE
Structure: relaxed

Properties
Magnetic moment (μB/cell): 1.27

Lattice parameters (Å, degrees): 5.7579 5.7579 5.7715 90.00 90.00 90.00
Fractional coordinates of all 5 atoms:
Sb  0.0000  0.5000  0.0000
Sb  0.5000  0.0000  0.0000
Te  0.0000  0.0000  0.5000
Tl  0.0000  0.0000  0.0000
C  0.5000  0.5000  0.5000



Which structure wins on stability? A wins.



A | Compound: ZrSb2TeC
Source: the Alexandria database
Functional: PBE
Structure: relaxed

Properties
Magnetic moment (μB/cell): 0.00

Lattice parameters (Å, degrees): 4.7456 4.7456 4.7451 90.00 90.00 90.00
Fractional coordinates of all 5 atoms:
C  0.0000  0.0000  0.0000
Te  0.0000  0.0000  0.5000
Zr  0.5000  0.5000  0.5000
Sb  0.5000  0.0000  0.0000
Sb  0.0000  0.5000  0.0000



B | Compound: ZrSb2TeC
Source: the Alexandria database
Functional: PBE
Structure: relaxed

Properties
Magnetic moment (μB/cell): 1.73

Lattice parameters (Å, degrees): 5.5620 5.5620 5.5082 90.00 90.00 90.00
Fractional coordinates of all 5 atoms:
Zr  0.0000  0.0000  0.0000
C  0.5000  0.5000  0.5000
Sb  0.5000  0.0000  0.0000
Sb  0.0000  0.5000  0.0000
Te  0.0000  0.0000  0.5000



Which structure wins on stability? A wins.



A | Compound: Th3SbC2
Source: the Alexandria database
Functional: PBE
Structure: relaxed

Properties
Magnetic moment (μB/cell): 0.00

Lattice parameters (Å, degrees): 4.2706 5.2890 12.8100 90.00 90.00 90.00
Fractional coordinates of all 12 atoms:
C  0.7500  0.2507  0.4410
C  0.7500  0.2507  0.0590
C  0.2500  0.7493  0.9410
C  0.2500  0.7493  0.5590
Th  0.2500  0.2499  0.5407
Th  0.7500  0.7501  0.0407
Th  0.7500  0.2502  0.2500
Th  0.7500  0.7501  0.4593
Th  0.2500  0.2499  0.9593
Th  0.2500  0.7498  0.7500
Sb  0.7500  0.2498  0.7500
Sb  0.2500  0.7502  0.2500



B | Compound: Th3SbC2
Source: the Alexandria database
Functional: PBE
Structure: relaxed

Properties
Magnetic moment (μB/cell): 0.00

Lattice parameters (Å, degrees): 3.6597 6.6772 11.4309 90.00 90.00 90.00
Fractional coordinates of all 12 atoms:
C  0.5000  0.0169  0.5038
C  0.0000  0.5162  0.7613
C  0.5000  0.5169  0.4962
C  0.0000  0.0162  0.2387
Th  0.0000  0.7518  0.5921
Th  0.0000  0.2518  0.4079
Th  0.5000  0.6192  0.8922
Th  0.5000  0.1192  0.1078
Th  0.5000  0.2724  0.6729
Th  0.5000  0.7724  0.3271
Sb  0.0000  0.5249  0.1309
Sb  0.0000  0.0249  0.8691



Which structure wins on stability? A wins.



A | Compound: TiSbC3
Source: the Alexandria database
Functional: PBE
Structure: relaxed

Properties
Magnetic moment (μB/cell): 0.00

Lattice parameters (Å, degrees): 4.1038 4.1038 4.1038 90.00 90.00 90.00
Fractional coordinates of all 5 atoms:
Sb  0.5000  0.5000  0.5000
C  0.0000  0.0000  0.5000
C  0.0000  0.5000  0.0000
C  0.5000  0.0000  0.0000
Ti  0.0000  0.0000  0.0000



B | Compound: TiSbC3
Source: the Alexandria database
Functional: PBE
Structure: relaxed

Properties
Magnetic moment (μB/cell): 0.00

Lattice parameters (Å, degrees): 4.1482 4.1482 4.1482 90.00 90.00 90.00
Fractional coordinates of all 5 atoms:
Sb  0.0000  0.0000  0.0000
C  0.0000  0.5000  0.0000
C  0.5000  0.0000  0.0000
C  0.0000  0.0000  0.5000
Ti  0.5000  0.5000  0.5000



Which structure wins on stability? A wins.



A | Compound: TlSb2C
Source: the Alexandria database
Functional: PBE
Structure: relaxed

Properties
Magnetic moment (μB/cell): 0.00

Lattice parameters (Å, degrees): 6.9223 6.9223 6.4678 57.65 57.65 90.00
Fractional coordinates of all 8 atoms:
Sb  0.3750  0.4798  0.7500
Sb  0.2298  0.6250  0.2500
Sb  0.8750  0.7702  0.7500
Sb  0.5202  0.1250  0.2500
Tl  0.0000  0.0000  0.0000
Tl  0.7500  0.2500  0.5000
C  0.2500  0.7500  0.5000
C  0.5000  0.5000  0.0000



B | Compound: TlSb2C
Source: the Alexandria database
Functional: PBE
Structure: relaxed

Properties
Magnetic moment (μB/cell): 0.00

Lattice parameters (Å, degrees): 5.0338 5.0338 5.0338 60.00 60.00 60.00
Fractional coordinates of all 4 atoms:
C  0.0000  0.0000  0.0000
Sb  0.2500  0.2500  0.2500
Sb  0.7500  0.7500  0.7500
Tl  0.5000  0.5000  0.5000



Which structure wins on stability? A wins.



A | Compound: Tl2SbC
Source: the Alexandria database
Functional: PBE
Structure: relaxed

Properties
Magnetic moment (μB/cell): 0.00

Lattice parameters (Å, degrees): 6.1978 6.1978 7.1208 64.20 64.20 90.00
Fractional coordinates of all 8 atoms:
Tl  0.8750  0.7782  0.7500
Tl  0.2218  0.6250  0.2500
Tl  0.3750  0.4718  0.7500
Tl  0.5282  0.1250  0.2500
C  0.5000  0.5000  0.0000
C  0.2500  0.7500  0.5000
Sb  0.0000  0.0000  0.0000
Sb  0.7500  0.2500  0.5000



B | Compound: Tl2SbC
Source: the Alexandria database
Functional: PBE
Structure: relaxed

Properties
Magnetic moment (μB/cell): 0.00

Lattice parameters (Å, degrees): 5.1334 5.1334 5.1334 60.00 60.00 60.00
Fractional coordinates of all 4 atoms:
Tl  0.2500  0.2500  0.2500
Tl  0.7500  0.7500  0.7500
Sb  0.5000  0.5000  0.5000
C  0.0000  0.0000  0.0000



Which structure wins on stability? A wins.